DFT (PBE) results for crystalline Hf4MnTl at its relaxed geometry.

## Properties
- N(E_F) (states/eV/f.u.) = 5.2
- V (Å³/atom) = 20.5
- total moment (μB/f.u.) = 0.10
- energy relative to the elements (meV/atom) = -21

CIF file:
```
data_Hf4MnTl
_cell_length_a 3.158
_cell_length_b 3.158
_cell_length_c 12.314
_cell_angle_alpha 90.00
_cell_angle_beta 90.00
_cell_angle_gamma 90.00
_space_group_name_H-M_alt 'P 4/m m m'
_space_group_IT_number 123
_space_group_name_Hall '-P 4 2'
loop_
_atom_site_label
_atom_site_fract_x
_atom_site_fract_y
_atom_site_fract_z
Hf1 0.000 0.000 0.126
Hf2 0.500 0.500 0.302
Mn1 0.500 0.500 0.000
Tl1 0.000 0.000 0.500
```

***

DFT (PBE) results for crystalline Tb9Nd4Dy11 at its relaxed geometry.

## Properties
- N(E_F) (states/eV/f.u.) = 30.5
- V (Å³/atom) = 32.5
- total moment (μB/f.u.) = 0.00
- energy relative to the elements (meV/atom) = 59

CIF file:
```
data_Tb9Nd4Dy11
_cell_length_a 16.758
_cell_length_b 25.183
_cell_length_c 3.701
_cell_angle_alpha 90.00
_cell_angle_beta 90.00
_cell_angle_gamma 90.00
_space_group_name_H-M_alt 'C m m m'
_space_group_IT_number 65
_space_group_name_Hall '-C 2 2'
loop_
_atom_site_label
_atom_site_fract_x
_atom_site_fract_y
_atom_site_fract_z
Tb1 0.000 0.000 0.000
Tb2 0.102 0.236 0.000
Tb3 0.139 0.427 0.000
Nd1 0.154 0.100 0.000
Dy1 0.000 0.136 0.500
Dy2 0.000 0.341 0.500
Dy3 0.000 0.500 0.500
Dy4 0.212 0.000 0.500
Dy5 0.226 0.319 0.500
```

***

DFT (PBE) results for crystalline ScNCl2 at its relaxed geometry.

## Properties
- N(E_F) (states/eV/f.u.) = 3.0
- V (Å³/atom) = 16.5
- excess energy over the best structure of this formula in the dataset (meV/atom) = 83
- total moment (μB/f.u.) = 2.00
- formation energy without anion corrections (meV per atom) = -36

CIF file:
```
data_ScNCl2
_cell_length_a 6.410
_cell_length_b 6.410
_cell_length_c 6.410
_cell_angle_alpha 90.00
_cell_angle_beta 90.00
_cell_angle_gamma 90.00
_space_group_name_H-M_alt 'F m -3 m'
_space_group_IT_number 225
_space_group_name_Hall '-F 4 2 3'
loop_
_atom_site_label
_atom_site_fract_x
_atom_site_fract_y
_atom_site_fract_z
Sc1 0.000 0.000 0.000
N1 0.000 0.000 0.500
Cl1 0.250 0.250 0.250
```

***

DFT (PBE) results for crystalline CdAsRu2 at its relaxed geometry.

## Properties
- N(E_F) (states/eV/f.u.) = 3.9
- V (Å³/atom) = 17.1
- excess energy over the best structure of this formula in the dataset (meV/atom) = 144
- total moment (μB/f.u.) = 0.00
- energy relative to the elements (meV/atom) = 213

CIF file:
```
data_CdAsRu2
_cell_length_a 2.894
_cell_length_b 3.600
_cell_length_c 6.568
_cell_angle_alpha 90.00
_cell_angle_beta 90.00
_cell_angle_gamma 90.00
_space_group_name_H-M_alt 'P m m 2'
_space_group_IT_number 25
loop_
_space_group_symop_operation_xyz
'x,y,z'
'-x,-y,z'
'-x,y,z'
'x,-y,z'
loop_
_atom_site_label
_atom_site_fract_x
_atom_site_fract_y
_atom_site_fract_z
Cd1 0.000 0.000 0.000
As1 0.500 0.500 0.656
Ru1 0.000 0.000 0.472
Ru2 0.500 0.500 0.264
```